No. 1
Here is SmYIrI after structural relaxation from the Alexandria database. Energies are from GGA-PBE.

Cell lengths 8.315, 8.315, 8.315 Å; angles 28.97, 28.97, 28.97 degrees
Element x y z (fractional)
Sm 0.000 0.000 0.000
Y 0.787 0.787 0.787
Ir 0.394 0.394 0.394
I 0.223 0.223 0.223

* total magnetic moment: 0.00 μB per formula unit
* VASP energy: -25.4 eV per cell
* mass density: 7.8 g cm⁻³
* crystal system: trigonal
* symmetry: R3m, No. 160



No. 2
Here is Sn2IrI after structural relaxation from the Alexandria database. Energies are from GGA-PBE.

Cell lengths 7.910, 7.910, 7.910 Å; angles 129.01, 129.01, 75.00 degrees
Element x y z (fractional)
Sn 0.027 0.625 0.902
Sn 0.375 0.277 0.402
Sn 0.723 0.125 0.098
Sn 0.875 0.973 0.598
Ir 0.000 0.000 0.000
Ir 0.750 0.250 0.500
I 0.250 0.750 0.500
I 0.500 0.500 0.000

* total magnetic moment: 0.00 μB per formula unit
* mass density: 6.4 g cm⁻³
* energy above the lowest structure with this stoichiometry: 0.000 eV/atom
* crystal system: tetragonal
* symmetry: I-42d, No. 122



No. 3
Here is SnIrI after structural relaxation from the Alexandria database. Energies are from GGA-PBE.

Cell lengths 8.143, 8.143, 6.623 Å; angles 111.95, 111.95, 26.48 degrees
Element x y z (fractional)
Sn 0.112 0.112 0.253
Sn 0.888 0.888 0.747
Ir 0.298 0.298 0.449
Ir 0.702 0.702 0.551
I 0.391 0.391 0.204
I 0.609 0.609 0.796

* total magnetic moment: 0.00 μB per formula unit
* VASP energy: -27.7 eV per cell
* mass density: 8.0 g cm⁻³
* crystal system: monoclinic
* symmetry: C2/m, No. 12



No. 4
Here is Sn2IrI after structural relaxation from the Alexandria database. Energies are from GGA-PBE.

Cell lengths 5.162, 5.162, 5.162 Å; angles 60.00, 60.00, 60.00 degrees
Element x y z (fractional)
Sn 0.250 0.250 0.250
Sn 0.750 0.750 0.750
Ir 0.000 0.000 0.000
I 0.500 0.500 0.500

* total magnetic moment: 0.00 μB per formula unit
* mass density: 9.5 g cm⁻³
* energy above the lowest structure with this stoichiometry: 0.516 eV/atom
* crystal system: cubic
* symmetry: Fm-3m, No. 225



No. 5
Here is SnIrI3 after structural relaxation from the Alexandria database. Energies are from GGA-PBE.

Cell lengths 5.412, 5.412, 5.412 Å; angles 90.00, 90.00, 90.00 degrees
Element x y z (fractional)
Sn 0.000 0.000 0.000
Ir 0.500 0.500 0.500
I 0.000 0.500 0.500
I 0.500 0.000 0.500
I 0.500 0.500 0.000

* total magnetic moment: 0.00 μB per formula unit
* mass density: 7.2 g cm⁻³
* energy above the lowest structure with this stoichiometry: 0.000 eV/atom
* crystal system: cubic
* symmetry: Pm-3m, No. 221



No. 6
Here is Sr2SnIrI after structural relaxation from the Alexandria database. Energies are from GGA-PBE.

Cell lengths 6.000, 6.000, 5.010 Å; angles 90.00, 90.00, 90.00 degrees
Element x y z (fractional)
Sr 0.000 0.500 0.000
Sr 0.500 0.000 0.000
Sn 0.000 0.000 0.500
Ir 0.000 0.000 0.000
I 0.500 0.500 0.500

* total magnetic moment: 0.00 μB per formula unit
* VASP energy: -21.2 eV per cell
* mass density: 5.6 g cm⁻³
* crystal system: tetragonal
* symmetry: P4/mmm, No. 123